{"formula": "Ca2NpNi4As3", "functional": "PBE", "state": "optimized geometry", "m_tot_mub_per_fu": 3.8, "formation_energy_mev_per_atom": -524, "vol_a3_per_cell": 179, "crystal_system": "tetragonal", "spacegroup": "No. 115", "final_energy_ev_per_atom": -5.926, "cell": [[4.114, 0.000, 0.000], [0.000, 4.114, 0.000], [0.000, 0.000, 10.552]], "species": ["Np", "As", "As", "As", "Ni", "Ni", "Ni", "Ni", "Ca", "Ca"], "frac_coords": [[0.500, 0.500, 0.500], [0.000, 0.000, 0.500], [0.000, 0.500, 0.123], [0.500, 0.000, 0.877], [0.000, 0.500, 0.346], [0.500, 0.000, 0.654], [0.500, 0.500, 0.000], [0.000, 0.000, 0.000], [0.000, 0.500, 0.781], [0.500, 0.000, 0.219]]}